Below is a geometry-optimized Tl2Ga13 structure, with properties calculated at the PBE level.

a = 7.397 Å, b = 7.397 Å, c = 9.315 Å
α = 66.61°, β = 66.61°, γ = 60.00°
Fractional positions:
Ga (0.105, 0.736, 0.422)
Ga (0.447, 0.862, 0.245)
Ga (0.447, 0.447, 0.245)
Ga (0.553, 0.553, 0.755)
Ga (0.553, 0.138, 0.755)
Ga (0.736, 0.736, 0.422)
Ga (0.862, 0.447, 0.245)
Ga (0.264, 0.264, 0.578)
Ga (0.895, 0.264, 0.578)
Ga (0.138, 0.553, 0.755)
Ga (0.736, 0.105, 0.422)
Ga (0.264, 0.895, 0.578)
Ga (0.500, 0.500, 0.500)
Tl (0.687, 0.687, 0.940)
Tl (0.313, 0.313, 0.060)

## Properties
The calculated volume comes out at 392 Å³ per cell. Its density is 5.57 g cm⁻³. The calculated total energy is -2.7942 eV per atom.